(1)
10
Lattice="8.066 0.000 0.000 0.000 8.066 0.000 0.000 0.000 3.784" Properties=species:S:1:pos:R:3 comment="GGA-PBE NaGa2Sb2, optimized geometry" e_above_lowest_polymorph_mev_per_atom=83 formation_energy_uncorrected_ev_per_atom=-0.055 pbc="T T T"
Na 0.000 0.000 0.000
Na 4.033 4.033 0.000
Ga 1.066 2.967 0.000
Ga 2.967 7.000 0.000
Ga 5.100 1.066 0.000
Ga 7.000 5.100 0.000
Sb 1.248 5.282 1.892
Sb 2.785 1.248 1.892
Sb 5.282 6.818 1.892
Sb 6.818 2.785 1.892

---

(2)
Mg4Ga5Au2: optimized geometry, GGA-PBE.

Structure (extended XYZ):
```
11
Lattice="7.194 0.000 0.000 0.000 3.106 0.000 -0.573 0.000 9.256" Properties=species:S:1:pos:R:3 pbc="T T T"
Mg 1.042 0.000 3.604
Mg 1.312 0.000 8.720
Mg 5.309 0.000 0.536
Mg 5.579 0.000 5.652
Ga 0.958 1.553 6.076
Ga 3.144 1.553 1.830
Ga 3.311 1.553 4.628
Ga 3.477 1.553 7.426
Ga 5.663 1.553 3.180
Au 0.456 1.553 1.376
Au 6.165 1.553 7.880
```

---

(3)
18
Lattice="5.912 0.000 0.000 -2.956 5.120 0.000 0.000 0.000 10.141" Properties=species:S:1:pos:R:3 comment="GGA-PBE PuBiPbO6, optimized geometry" formation_energy_uncorrected_ev_per_atom=-1.761 pbc="T T T"
Pu 0.000 3.413 2.535
Pu 2.956 1.707 7.606
Bi 0.000 3.413 7.606
Bi 2.956 1.707 2.535
Pb 0.000 0.000 0.000
Pb 0.000 0.000 5.071
O -0.890 1.968 1.420
O -1.696 3.364 3.651
O 0.890 1.968 3.651
O -0.806 4.907 1.420
O 2.150 0.213 6.491
O 1.260 1.755 8.721
O 1.696 3.364 1.420
O 0.806 4.907 3.651
O 3.762 0.213 8.721
O 2.066 3.151 6.491
O 4.652 1.755 6.491
O 3.846 3.151 8.721

---

(4)
HgPd3: optimized geometry, GGA-PBE.

Structure (extended XYZ):
```
8
Lattice="2.941 0.000 0.000 0.000 9.387 0.000 0.000 0.000 4.845" Properties=species:S:1:pos:R:3 pbc="T T T"
Hg 0.000 0.000 0.000
Hg 1.471 4.694 2.422
Pd 0.000 2.324 1.753
Pd 0.000 4.694 0.009
Pd 0.000 7.063 1.753
Pd 1.471 0.000 2.431
Pd 1.471 2.370 4.176
Pd 1.471 7.018 4.176
```

---

(5)
16
Lattice="12.599 0.000 0.000 0.000 12.599 0.000 0.000 0.000 4.743" Properties=species:S:1:pos:R:3 comment="GGA-PBE K2HfRe, optimized geometry" e_above_lowest_polymorph_mev_per_atom=0 pbc="T T T"
K 1.217 9.449 0.593
K 3.150 1.217 4.151
K 3.150 5.082 1.779
K 5.082 9.449 2.965
K 7.516 3.150 2.965
K 9.449 7.516 1.779
K 9.449 11.382 4.151
K 11.382 3.150 0.593
Hf 0.000 0.000 2.372
Hf 0.000 6.299 3.558
Hf 6.299 0.000 1.186
Hf 6.299 6.299 0.000
Re 0.000 0.000 0.000
Re 0.000 6.299 1.186
Re 6.299 0.000 3.558
Re 6.299 6.299 2.372

---

(6)
EuTm3Cu: optimized geometry, GGA-PBE.

Structure (extended XYZ):
```
5
Lattice="5.374 0.000 0.000 0.000 5.374 0.000 0.000 0.000 5.374" Properties=species:S:1:pos:R:3 pbc="T T T"
Eu 0.000 0.000 0.000
Tm 0.000 2.687 2.687
Tm 2.687 0.000 2.687
Tm 2.687 2.687 0.000
Cu 2.687 2.687 2.687
```

---

(7)
10
Lattice="4.195 0.000 0.000 0.000 4.195 0.000 0.000 0.000 9.589" Properties=species:S:1:pos:R:3 comment="GGA-PBE ErSi2TcRu, optimized geometry" formation_energy_uncorrected_ev_per_atom=-0.749 pbc="T T T"
Er 0.000 0.000 0.000
Er 2.097 2.097 4.795
Si 0.000 0.000 3.556
Si 0.000 0.000 6.033
Si 2.097 2.097 1.238
Si 2.097 2.097 8.351
Tc 0.000 2.097 7.192
Tc 2.097 0.000 2.397
Ru 0.000 2.097 2.397
Ru 2.097 0.000 7.192

---

(8)
5
Lattice="4.676 0.000 0.000 0.000 4.676 0.000 0.000 0.000 4.676" Properties=species:S:1:pos:R:3 comment="GGA-PBE TlV3Pd, optimized geometry" e_above_lowest_polymorph_mev_per_atom=0 pbc="T T T"
Tl 0.000 0.000 0.000
V 0.000 2.338 2.338
V 2.338 0.000 2.338
V 2.338 2.338 0.000
Pd 2.338 2.338 2.338

---

| no. | total DFT energy (no corrections) (eV per atom) |
| --- | --- |
| 1 | -3.1787 |
| 2 | -2.8201 |
| 3 | -7.5017 |
| 4 | -4.0395 |
| 5 | -4.5817 |
| 6 | -5.4846 |
| 7 | -7.7594 |
| 8 | -5.8378 |